Entry 1:
# Hf2CoIr | Alexandria | meta-GGA SCAN | single point on PBEsol structure
# * energy relative to the elements: -879 meV per atom
# * energy: -869.1 eV/cell
# * DOS at the Fermi energy: 0.429 states/eV per atom
data_Hf2CoIr
_symmetry_space_group_name_H-M 'F m -3 m'
_symmetry_Int_Tables_number 225
_symmetry_space_group_name_Hall '-F 4 2 3'
_cell_length_a 6.370
_cell_length_b 6.370
_cell_length_c 6.370
_cell_angle_alpha 90.00
_cell_angle_beta 90.00
_cell_angle_gamma 90.00
loop_
_atom_site_label
_atom_site_type_symbol
_atom_site_fract_x
_atom_site_fract_y
_atom_site_fract_z
Hf1 Hf 0.250 0.250 0.250
Co1 Co 0.000 0.000 0.000
Ir1 Ir 0.000 0.000 0.500

Entry 2:
# HfCo3Ir | Alexandria | meta-GGA SCAN | single point on PBEsol structure
# * energy relative to the elements: 1717 meV per atom
# * energy: -177.1 eV/cell
# * DOS at the Fermi energy: 0.673 states/eV per atom
data_HfCo3Ir
_symmetry_space_group_name_H-M 'P m -3 m'
_symmetry_Int_Tables_number 221
_symmetry_space_group_name_Hall '-P 4 2 3'
_cell_length_a 4.300
_cell_length_b 4.300
_cell_length_c 4.300
_cell_angle_alpha 90.00
_cell_angle_beta 90.00
_cell_angle_gamma 90.00
loop_
_atom_site_label
_atom_site_type_symbol
_atom_site_fract_x
_atom_site_fract_y
_atom_site_fract_z
Hf1 Hf 0.000 0.000 0.000
Co1 Co 0.000 0.000 0.500
Ir1 Ir 0.500 0.500 0.500

Entry 3:
# KHf2Co | Alexandria | meta-GGA SCAN | single point on PBEsol structure
# * energy relative to the elements: 998 meV per atom
# * energy: -588.0 eV/cell
# * DOS at the Fermi energy: 0.410 states/eV per atom
data_KHf2Co
_symmetry_space_group_name_H-M 'F m -3 m'
_symmetry_Int_Tables_number 225
_symmetry_space_group_name_Hall '-F 4 2 3'
_cell_length_a 6.655
_cell_length_b 6.655
_cell_length_c 6.655
_cell_angle_alpha 90.00
_cell_angle_beta 90.00
_cell_angle_gamma 90.00
loop_
_atom_site_label
_atom_site_type_symbol
_atom_site_fract_x
_atom_site_fract_y
_atom_site_fract_z
K1 K 0.000 0.000 0.000
Hf1 Hf 0.250 0.250 0.250
Co1 Co 0.000 0.000 0.500

Entry 4:
# KHfCo2 | Alexandria | meta-GGA SCAN | single point on PBEsol structure
# * energy relative to the elements: 1002 meV per atom
# * energy: -406.4 eV/cell
# * DOS at the Fermi energy: 0.717 states/eV per atom
data_KHfCo2
_symmetry_space_group_name_H-M 'F m -3 m'
_symmetry_Int_Tables_number 225
_symmetry_space_group_name_Hall '-F 4 2 3'
_cell_length_a 6.388
_cell_length_b 6.388
_cell_length_c 6.388
_cell_angle_alpha 90.00
_cell_angle_beta 90.00
_cell_angle_gamma 90.00
loop_
_atom_site_label
_atom_site_type_symbol
_atom_site_fract_x
_atom_site_fract_y
_atom_site_fract_z
K1 K 0.000 0.000 0.000
Hf1 Hf 0.000 0.000 0.500
Co1 Co 0.250 0.250 0.250

Entry 5:
# LaHfNb2Co | Alexandria | meta-GGA SCAN | single point on PBEsol structure
# * energy relative to the elements: 1012 meV per atom
# * energy: -184.3 eV/cell
# * DOS at the Fermi energy: 1.134 states/eV per atom
data_LaHfNb2Co
_symmetry_space_group_name_H-M 'P 4/m m m'
_symmetry_Int_Tables_number 123
_symmetry_space_group_name_Hall '-P 4 2'
_cell_length_a 4.976
_cell_length_b 4.976
_cell_length_c 4.585
_cell_angle_alpha 90.00
_cell_angle_beta 90.00
_cell_angle_gamma 90.00
loop_
_atom_site_label
_atom_site_type_symbol
_atom_site_fract_x
_atom_site_fract_y
_atom_site_fract_z
La1 La 0.000 0.000 0.000
Hf1 Hf 0.500 0.500 0.500
Nb1 Nb 0.000 0.500 0.500
Co1 Co 0.500 0.500 0.000

Entry 6:
# LiHfCo2 | Alexandria | meta-GGA SCAN | single point on PBEsol structure
# * energy relative to the elements: 381 meV per atom
# * energy: -392.6 eV/cell
# * DOS at the Fermi energy: 0.479 states/eV per atom
data_LiHfCo2
_symmetry_space_group_name_H-M 'I -4 2 d'
_symmetry_Int_Tables_number 122
_symmetry_space_group_name_Hall 'I -4 2bw'
_cell_length_a 6.412
_cell_length_b 6.412
_cell_length_c 5.107
_cell_angle_alpha 90.00
_cell_angle_beta 90.00
_cell_angle_gamma 90.00
loop_
_atom_site_label
_atom_site_type_symbol
_atom_site_fract_x
_atom_site_fract_y
_atom_site_fract_z
Li1 Li 0.000 0.000 0.000
Hf1 Hf 0.000 0.000 0.500
Co1 Co 0.225 0.750 0.125

Entry 7:
# LuHfCo2 | Alexandria | meta-GGA SCAN | single point on PBEsol structure
# * energy relative to the elements: -404 meV per atom
# * energy: -617.0 eV/cell
# * DOS at the Fermi energy: 0.381 states/eV per atom
data_LuHfCo2
_symmetry_space_group_name_H-M 'F m -3 m'
_symmetry_Int_Tables_number 225
_symmetry_space_group_name_Hall '-F 4 2 3'
_cell_length_a 6.299
_cell_length_b 6.299
_cell_length_c 6.299
_cell_angle_alpha 90.00
_cell_angle_beta 90.00
_cell_angle_gamma 90.00
loop_
_atom_site_label
_atom_site_type_symbol
_atom_site_fract_x
_atom_site_fract_y
_atom_site_fract_z
Lu1 Lu 0.000 0.000 0.000
Hf1 Hf 0.000 0.000 0.500
Co1 Co 0.250 0.250 0.250

Entry 8:
# HfMg30CoO32 | Alexandria | meta-GGA SCAN | single point on PBEsol structure
# * ΔE_f (raw): -2.91 eV per atom
# * energy: -615.1 eV/cell
# * DOS at the Fermi energy: 0.071 states/eV per atom
data_HfMg30CoO32
_symmetry_space_group_name_H-M 'P 4/m m m'
_symmetry_Int_Tables_number 123
_symmetry_space_group_name_Hall '-P 4 2'
_cell_length_a 8.492
_cell_length_b 8.492
_cell_length_c 8.494
_cell_angle_alpha 90.00
_cell_angle_beta 90.00
_cell_angle_gamma 90.00
loop_
_atom_site_label
_atom_site_type_symbol
_atom_site_fract_x
_atom_site_fract_y
_atom_site_fract_z
Hf1 Hf 0.000 0.000 0.000
Mg1 Mg 0.000 0.253 0.259
Mg2 Mg 0.000 0.500 0.000
Mg3 Mg 0.000 0.500 0.500
Mg4 Mg 0.248 0.248 0.500
Mg5 Mg 0.250 0.500 0.252
Mg6 Mg 0.254 0.254 0.000
Mg7 Mg 0.500 0.500 0.000
Mg8 Mg 0.500 0.500 0.500
Co1 Co 0.000 0.000 0.500
O1 O 0.000 0.000 0.241
O2 O 0.000 0.252 0.000
O3 O 0.000 0.260 0.500
O4 O 0.000 0.500 0.248
O5 O 0.249 0.249 0.249
O6 O 0.250 0.500 0.000
O7 O 0.251 0.500 0.500
O8 O 0.500 0.500 0.249

Entry 9:
# Hf2MnCo | Alexandria | meta-GGA SCAN | single point on PBEsol structure
# * energy relative to the elements: -343 meV per atom
# * energy: -649.1 eV/cell
# * DOS at the Fermi energy: 0.435 states/eV per atom
data_Hf2MnCo
_symmetry_space_group_name_H-M 'F m -3 m'
_symmetry_Int_Tables_number 225
_symmetry_space_group_name_Hall '-F 4 2 3'
_cell_length_a 6.203
_cell_length_b 6.203
_cell_length_c 6.203
_cell_angle_alpha 90.00
_cell_angle_beta 90.00
_cell_angle_gamma 90.00
loop_
_atom_site_label
_atom_site_type_symbol
_atom_site_fract_x
_atom_site_fract_y
_atom_site_fract_z
Hf1 Hf 0.250 0.250 0.250
Mn1 Mn 0.000 0.000 0.000
Co1 Co 0.000 0.000 0.500

Entry 10:
# HfMn2CoPt | Alexandria | meta-GGA SCAN | single point on PBEsol structure
# * energy relative to the elements: 384 meV per atom
# * energy: -184.8 eV/cell
# * DOS at the Fermi energy: 1.249 states/eV per atom
data_HfMn2CoPt
_symmetry_space_group_name_H-M 'P 4/m m m'
_symmetry_Int_Tables_number 123
_symmetry_space_group_name_Hall '-P 4 2'
_cell_length_a 4.099
_cell_length_b 4.099
_cell_length_c 4.694
_cell_angle_alpha 90.00
_cell_angle_beta 90.00
_cell_angle_gamma 90.00
loop_
_atom_site_label
_atom_site_type_symbol
_atom_site_fract_x
_atom_site_fract_y
_atom_site_fract_z
Hf1 Hf 0.000 0.000 0.000
Mn1 Mn 0.000 0.500 0.500
Co1 Co 0.500 0.500 0.500
Pt1 Pt 0.500 0.500 0.000

Entry 11:
# HfCoSb2Mo | Alexandria | meta-GGA SCAN | single point on PBEsol structure
# * ΔE_f (raw): 0.74 eV per atom
# * energy: -185.7 eV/cell
# * DOS at the Fermi energy: 0.808 states/eV per atom
data_HfCoSb2Mo
_symmetry_space_group_name_H-M 'P 4/m m m'
_symmetry_Int_Tables_number 123
_symmetry_space_group_name_Hall '-P 4 2'
_cell_length_a 4.794
_cell_length_b 4.794
_cell_length_c 4.399
_cell_angle_alpha 90.00
_cell_angle_beta 90.00
_cell_angle_gamma 90.00
loop_
_atom_site_label
_atom_site_type_symbol
_atom_site_fract_x
_atom_site_fract_y
_atom_site_fract_z
Hf1 Hf 0.000 0.000 0.000
Co1 Co 0.500 0.500 0.500
Sb1 Sb 0.000 0.500 0.500
Mo1 Mo 0.500 0.500 0.000

Entry 12:
# HfCoN3 | Alexandria | meta-GGA SCAN | single point on PBEsol structure
# * ΔE_f (raw): 0.82 eV per atom
# * energy: -103.8 eV/cell
# * DOS at the Fermi energy: 0.383 states/eV per atom
data_HfCoN3
_symmetry_space_group_name_H-M 'P m -3 m'
_symmetry_Int_Tables_number 221
_symmetry_space_group_name_Hall '-P 4 2 3'
_cell_length_a 4.088
_cell_length_b 4.088
_cell_length_c 4.088
_cell_angle_alpha 90.00
_cell_angle_beta 90.00
_cell_angle_gamma 90.00
loop_
_atom_site_label
_atom_site_type_symbol
_atom_site_fract_x
_atom_site_fract_y
_atom_site_fract_z
Hf1 Hf 0.000 0.000 0.000
Co1 Co 0.500 0.500 0.500
N1 N 0.000 0.000 0.500

What did the tenth record say?
# HfMn2CoPt | Alexandria | meta-GGA SCAN | single point on PBEsol structure
# * energy relative to the elements: 384 meV per atom
# * energy: -184.8 eV/cell
# * DOS at the Fermi energy: 1.249 states/eV per atom
data_HfMn2CoPt
_symmetry_space_group_name_H-M 'P 4/m m m'
_symmetry_Int_Tables_number 123
_symmetry_space_group_name_Hall '-P 4 2'
_cell_length_a 4.099
_cell_length_b 4.099
_cell_length_c 4.694
_cell_angle_alpha 90.00
_cell_angle_beta 90.00
_cell_angle_gamma 90.00
loop_
_atom_site_label
_atom_site_type_symbol
_atom_site_fract_x
_atom_site_fract_y
_atom_site_fract_z
Hf1 Hf 0.000 0.000 0.000
Mn1 Mn 0.000 0.500 0.500
Co1 Co 0.500 0.500 0.500
Pt1 Pt 0.500 0.500 0.000